one | # Ba2LiHPd

Ba2LiHPd after structural relaxation (PBE, the Alexandria database).

a = 7.3737 Å, b = 4.3617 Å, c = 8.9055 Å
α = 90.00°, β = 109.97°, γ = 90.00°
Last column: nearest neighbours and their distance in Å.
Space group P2_1/m (No. 11)
Inequivalent atoms, fractional coordinates:
Ba  0.1877  0.2500  0.4119 [2 per cell]  2 H 3.03, 1 Li 3.25, 2 Pd 3.34
Ba  0.2318  0.2500  0.9498 [2 per cell]  3 H 2.80-3.07
Li  0.4449  0.7500  0.2572 [2 per cell]  1 H 1.89
H  0.1718  0.7500  0.1714 [2 per cell]  1 Li 1.89
Pd  0.3314  0.7500  0.7138 [2 per cell]  2 Li 2.69

Values from the calculation:
crystal system = monoclinic

***

two | # Ba2LiHPd

Ba2LiHPd after structural relaxation (PBE, the Alexandria database).

a = 5.8522 Å, b = 5.8522 Å, c = 3.9057 Å
α = 90.00°, β = 90.00°, γ = 90.00°
Last column: nearest neighbours and their distance in Å.
Space group P4/mmm (No. 123)
Inequivalent atoms, fractional coordinates:
Ba  0.0000  0.5000  0.0000 [2 per cell]  2 H 2.93
Li  0.0000  0.0000  0.5000 [1 per cell]  8 Ba 3.52, 2 Li 3.91
H  0.5000  0.5000  0.0000 [1 per cell]  2 Pd 1.95
Pd  0.5000  0.5000  0.5000 [1 per cell]  2 H 1.95

Values from the calculation:
crystal system = tetragonal

***

Which of them is most stable? Easy: one.

***

one | # Ba2LiHPt

Ba2LiHPt after structural relaxation (PBE, the Alexandria database).

a = 7.2857 Å, b = 4.3534 Å, c = 8.7638 Å
α = 90.00°, β = 110.31°, γ = 90.00°
Last column: nearest neighbours and their distance in Å.
Space group P2_1/m (No. 11)
Inequivalent atoms, fractional coordinates:
Ba  0.1857  0.2500  0.4137 [2 per cell]  2 H 3.03, 1 Li 3.18, 2 Pt 3.30
Ba  0.2380  0.2500  0.9492 [2 per cell]  3 H 2.78-3.06
Li  0.4435  0.7500  0.2591 [2 per cell]  1 H 1.88
H  0.1681  0.7500  0.1685 [2 per cell]  1 Li 1.88
Pt  0.3358  0.7500  0.7141 [2 per cell]  2 Li 2.67

Values from the calculation:
crystal system = monoclinic

***

two | # Ba2LiHPt

Ba2LiHPt after structural relaxation (PBE, the Alexandria database).

a = 5.4675 Å, b = 5.4675 Å, c = 4.1584 Å
α = 90.00°, β = 90.00°, γ = 90.00°
Last column: nearest neighbours and their distance in Å.
Space group P4/mmm (No. 123)
Inequivalent atoms, fractional coordinates:
Ba  0.0000  0.5000  0.0000 [2 per cell]  2 H 2.73
Li  0.0000  0.0000  0.5000 [1 per cell]  2 H 2.08
H  0.0000  0.0000  0.0000 [1 per cell]  2 Li 2.08
Pt  0.5000  0.5000  0.5000 [1 per cell]  8 Ba 3.43

Values from the calculation:
crystal system = tetragonal

***

Which of them is most stable? Easy: one.

***

one | # Ba2LiHRh

Ba2LiHRh after structural relaxation (PBE, the Alexandria database).

a = 5.7473 Å, b = 5.7473 Å, c = 3.8038 Å
α = 90.00°, β = 90.00°, γ = 90.00°
Last column: nearest neighbours and their distance in Å.
Space group P4/mmm (No. 123)
Inequivalent atoms, fractional coordinates:
Ba  0.0000  0.5000  0.0000 [2 per cell]  2 H 2.87
Li  0.0000  0.0000  0.5000 [1 per cell]  8 Ba 3.45, 2 Li 3.80
H  0.5000  0.5000  0.0000 [1 per cell]  2 Rh 1.90
Rh  0.5000  0.5000  0.5000 [1 per cell]  2 H 1.90

Values from the calculation:
crystal system = tetragonal

***

two | # Ba2LiHRh

Ba2LiHRh after structural relaxation (PBE, the Alexandria database).

a = 5.3958 Å, b = 5.3958 Å, c = 4.1798 Å
α = 90.00°, β = 90.00°, γ = 90.00°
Last column: nearest neighbours and their distance in Å.
Space group P4/mmm (No. 123)
Inequivalent atoms, fractional coordinates:
Ba  0.0000  0.5000  0.0000 [2 per cell]  2 H 2.70
Li  0.0000  0.0000  0.5000 [1 per cell]  2 H 2.09
H  0.0000  0.0000  0.0000 [1 per cell]  2 Li 2.09
Rh  0.5000  0.5000  0.5000 [1 per cell]  8 Ba 3.41, 4 Li 3.82

Values from the calculation:
crystal system = tetragonal

***

Which of them is most stable? Easy: one.

***

one | # Ba2SrLiH

Ba2SrLiH after structural relaxation (PBE, the Alexandria database).

a = 5.9055 Å, b = 5.9055 Å, c = 5.5349 Å
α = 90.00°, β = 90.00°, γ = 90.00°
Last column: nearest neighbours and their distance in Å.
Space group P4/mmm (No. 123)
Inequivalent atoms, fractional coordinates:
Ba  0.0000  0.5000  0.0000 [2 per cell]  2 H 2.95
Sr  0.0000  0.0000  0.5000 [1 per cell]  2 H 2.77
Li  0.5000  0.5000  0.5000 [1 per cell]  8 Ba 4.05, 4 Sr 4.18
H  0.0000  0.0000  0.0000 [1 per cell]  2 Sr 2.77, 4 Ba 2.95

Values from the calculation:
crystal system = tetragonal

***

two | # Ba2SrLiH

Ba2SrLiH after structural relaxation (PBE, the Alexandria database).

a = 5.7509 Å, b = 5.7509 Å, c = 5.9151 Å
α = 90.00°, β = 90.00°, γ = 90.00°
Last column: nearest neighbours and their distance in Å.
Space group P4/mmm (No. 123)
Inequivalent atoms, fractional coordinates:
Ba  0.0000  0.5000  0.0000 [2 per cell]  2 H 2.88
Sr  0.0000  0.0000  0.5000 [1 per cell]  4 Li 4.07, 8 Ba 4.12
Li  0.5000  0.5000  0.5000 [1 per cell]  2 H 2.96
H  0.5000  0.5000  0.0000 [1 per cell]  4 Ba 2.88, 2 Li 2.96

Values from the calculation:
crystal system = tetragonal

***

Which of them is most stable? Easy: one.

***

one | # BaMg2H6

BaMg2H6 after structural relaxation (PBE, the Alexandria database).

a = 3.8801 Å, b = 3.8801 Å, c = 8.2695 Å
α = 90.00°, β = 90.00°, γ = 90.00°
Last column: nearest neighbours and their distance in Å.
Space group P4/mmm (No. 123)
Inequivalent atoms, fractional coordinates:
Ba  0.0000  0.0000  0.0000 [1 per cell]  12 H 2.69-2.74
Mg  0.5000  0.5000  0.2827 [2 per cell]  5 H 1.80-2.00
H  0.0000  0.5000  0.2259 [4 per cell]  2 Mg 2.00
H  0.5000  0.5000  0.0000 [1 per cell]  2 Mg 2.34
H  0.5000  0.5000  0.5000 [1 per cell]  2 Mg 1.80

Values from the calculation:
crystal system = tetragonal

***

two | # BaMg2H6

BaMg2H6 after structural relaxation (PBE, the Alexandria database).

a = 9.6168 Å, b = 4.1213 Å, c = 7.4278 Å
α = 90.00°, β = 116.23°, γ = 90.00°
Last column: nearest neighbours and their distance in Å.
Space group C2/m (No. 12)
Inequivalent atoms, fractional coordinates:
Ba  0.0000  0.0000  0.0000 [2 per cell]  6 H 2.51-2.59
Mg  0.1714  0.0000  0.5859 [4 per cell]  6 H 1.89-2.10
H  0.0089  0.0000  0.6671 [4 per cell]  2 Mg 1.91
H  0.1790  0.5000  0.1421 [4 per cell]  1 Mg 1.89
H  0.2102  0.5000  0.5810 [4 per cell]  3 Mg 2.02-2.10

Values from the calculation:
crystal system = monoclinic

***

three | # BaMg2H6

BaMg2H6 after structural relaxation (PBE, the Alexandria database).

a = 7.7275 Å, b = 7.7275 Å, c = 7.7275 Å
α = 90.00°, β = 90.00°, γ = 90.00°
Last column: nearest neighbours and their distance in Å.
Space group Fm-3m (No. 225)
Inequivalent atoms, fractional coordinates:
Ba  0.0000  0.0000  0.0000 [4 per cell]  6 H 2.41
Mg  0.2500  0.2500  0.2500 [8 per cell]  12 H 2.77
H  0.0000  0.0000  0.3113 [24 per cell]  4 H 2.06

Values from the calculation:
crystal system = cubic

***

Which of them is most stable? Easy: one.

***

one | # BaMg2H

BaMg2H after structural relaxation (PBE, the Alexandria database).

a = 7.8919 Å, b = 7.8919 Å, c = 7.8919 Å
α = 90.00°, β = 90.00°, γ = 90.00°
Last column: nearest neighbours and their distance in Å.
Space group Fm-3m (No. 225)
Inequivalent atoms, fractional coordinates:
Ba  0.0000  0.0000  0.0000 [4 per cell]  8 Mg 3.42
Mg  0.2500  0.2500  0.2500 [8 per cell]  4 Ba 3.42, 4 H 3.42
H  0.0000  0.0000  0.5000 [4 per cell]  8 Mg 3.42

Values from the calculation:
crystal system = cubic

***

two | # BaMg2H

BaMg2H after structural relaxation (PBE, the Alexandria database).

a = 9.5367 Å, b = 9.5367 Å, c = 9.5367 Å
α = 90.00°, β = 90.00°, γ = 90.00°
Last column: nearest neighbours and their distance in Å.
Space group Fd-3m (No. 227, origin choice 2)
Inequivalent atoms, fractional coordinates:
Ba  0.1250  0.1250  0.1250 [8 per cell]  12 Mg 3.95, 4 H 4.13, 4 Ba 4.13
Mg  0.0000  0.0000  0.5000 [16 per cell]  2 H 2.06
H  0.1250  0.1250  0.6250 [8 per cell]  4 Mg 2.06

Values from the calculation:
crystal system = cubic

***

Which of them is most stable? Easy: two.

***

one | # Ba2SrMgH

Ba2SrMgH after structural relaxation (PBE, the Alexandria database).

a = 5.9791 Å, b = 5.9791 Å, c = 5.1564 Å
α = 90.00°, β = 90.00°, γ = 90.00°
Last column: nearest neighbours and their distance in Å.
Space group P4/mmm (No. 123)
Inequivalent atoms, fractional coordinates:
Ba  0.0000  0.5000  0.0000 [2 per cell]  2 H 2.99
Sr  0.0000  0.0000  0.5000 [1 per cell]  2 H 2.58
Mg  0.5000  0.5000  0.5000 [1 per cell]  8 Ba 3.95, 4 Sr 4.23
H  0.0000  0.0000  0.0000 [1 per cell]  2 Sr 2.58

Values from the calculation:
crystal system = tetragonal

***

two | # Ba2SrMgH

Ba2SrMgH after structural relaxation (PBE, the Alexandria database).

a = 5.9054 Å, b = 5.9054 Å, c = 5.2682 Å
α = 90.00°, β = 90.00°, γ = 90.00°
Last column: nearest neighbours and their distance in Å.
Space group P4/mmm (No. 123)
Inequivalent atoms, fractional coordinates:
Ba  0.0000  0.5000  0.0000 [2 per cell]  2 H 2.95
Sr  0.0000  0.0000  0.5000 [1 per cell]  8 Ba 3.96, 4 Mg 4.18
Mg  0.5000  0.5000  0.5000 [1 per cell]  2 H 2.63
H  0.5000  0.5000  0.0000 [1 per cell]  2 Mg 2.63

Values from the calculation:
crystal system = tetragonal

***

Which of them is most stable? Easy: one.

***

one | # Ba2MgZnH

Ba2MgZnH after structural relaxation (PBE, the Alexandria database).

a = 5.6883 Å, b = 5.6883 Å, c = 4.4828 Å
α = 90.00°, β = 90.00°, γ = 90.00°
Last column: nearest neighbours and their distance in Å.
Space group P4/mmm (No. 123)
Inequivalent atoms, fractional coordinates:
Ba  0.0000  0.5000  0.0000 [2 per cell]  2 H 2.84
Mg  0.0000  0.0000  0.5000 [1 per cell]  2 H 2.24
Zn  0.5000  0.5000  0.5000 [1 per cell]  8 Ba 3.62, 4 Mg 4.02
H  0.0000  0.0000  0.0000 [1 per cell]  2 Mg 2.24

Values from the calculation:
crystal system = tetragonal

***

two | # Ba2MgZnH

Ba2MgZnH after structural relaxation (PBE, the Alexandria database).

a = 5.7287 Å, b = 5.7287 Å, c = 4.4467 Å
α = 90.00°, β = 90.00°, γ = 90.00°
Last column: nearest neighbours and their distance in Å.
Space group P4/mmm (No. 123)
Inequivalent atoms, fractional coordinates:
Ba  0.0000  0.5000  0.0000 [2 per cell]  2 H 2.86
Mg  0.0000  0.0000  0.5000 [1 per cell]  8 Ba 3.63, 4 Zn 4.05
Zn  0.5000  0.5000  0.5000 [1 per cell]  2 H 2.22
H  0.5000  0.5000  0.0000 [1 per cell]  2 Zn 2.22

Values from the calculation:
crystal system = tetragonal

***

Which of them is most stable? Easy: one.

***

one | # BaMn2H

BaMn2H after structural relaxation (PBE, the Alexandria database).

a = 7.2500 Å, b = 7.2500 Å, c = 7.2500 Å
α = 90.00°, β = 90.00°, γ = 90.00°
Last column: nearest neighbours and their distance in Å.
Space group Fm-3m (No. 225)
Inequivalent atoms, fractional coordinates:
Ba  0.0000  0.0000  0.0000 [4 per cell]  8 Mn 3.14
Mn  0.2500  0.2500  0.2500 [8 per cell]  4 Ba 3.14, 4 H 3.14
H  0.0000  0.0000  0.5000 [4 per cell]  8 Mn 3.14

Values from the calculation:
crystal system = cubic

***

two | # BaMn2H

BaMn2H after structural relaxation (PBE, the Alexandria database).

a = 5.8594 Å, b = 5.8594 Å, c = 8.2748 Å
α = 90.00°, β = 90.00°, γ = 90.00°
Last column: nearest neighbours and their distance in Å.
Space group I4_1/amd (No. 141, origin choice 2)
Inequivalent atoms, fractional coordinates:
Ba  0.0000  0.2500  0.3750 [4 per cell]  12 Mn 3.43, 4 Ba 3.59, 4 H 3.59
Mn  0.0000  0.0000  0.0000 [8 per cell]  2 H 1.79
H  0.0000  0.2500  0.8750 [4 per cell]  4 Mn 1.79

Values from the calculation:
crystal system = tetragonal

***

Which of them is most stable? Easy: two.

***

one | # BaMnH3

BaMnH3 after structural relaxation (PBE, the Alexandria database).

a = 3.8581 Å, b = 3.8581 Å, c = 3.8581 Å
α = 90.00°, β = 90.00°, γ = 90.00°
Last column: nearest neighbours and their distance in Å.
Space group Pm-3m (No. 221)
Inequivalent atoms, fractional coordinates:
Ba  0.0000  0.0000  0.0000 [1 per cell]  12 H 2.73
Mn  0.5000  0.5000  0.5000 [1 per cell]  6 H 1.93
H  0.0000  0.5000  0.5000 [3 per cell]  2 Mn 1.93

Values from the calculation:
crystal system = cubic

***

two | # BaMnH3

BaMnH3 after structural relaxation (PBE, the Alexandria database).

a = 4.8694 Å, b = 4.8694 Å, c = 4.8694 Å
α = 90.00°, β = 90.00°, γ = 90.00°
Last column: nearest neighbours and their distance in Å.
Space group Pm-3m (No. 221)
Inequivalent atoms, fractional coordinates:
Ba  0.0000  0.0000  0.0000 [1 per cell]  6 H 2.43
Mn  0.5000  0.5000  0.5000 [1 per cell]  12 H 3.44
H  0.0000  0.0000  0.5000 [3 per cell]  2 Ba 2.43

Values from the calculation:
crystal system = cubic

***

Which of them is most stable? Easy: one.

***

one | # Ba2MnH

Ba2MnH after structural relaxation (PBE, the Alexandria database).

a = 7.9057 Å, b = 7.9057 Å, c = 8.5945 Å
α = 90.00°, β = 90.00°, γ = 90.00°
Last column: nearest neighbours and their distance in Å.
Space group I-42d (No. 122)
Inequivalent atoms, fractional coordinates:
Ba  0.1581  0.7500  0.1250 [8 per cell]  2 H 2.57
Mn  0.0000  0.0000  0.5000 [4 per cell]  4 Ba 3.52
H  0.0000  0.0000  0.0000 [4 per cell]  4 Ba 2.57

Values from the calculation:
crystal system = tetragonal

***

two | # Ba2MnH

Ba2MnH after structural relaxation (PBE, the Alexandria database).

a = 7.8868 Å, b = 7.8868 Å, c = 7.8868 Å
α = 90.00°, β = 90.00°, γ = 90.00°
Last column: nearest neighbours and their distance in Å.
Space group Fm-3m (No. 225)
Inequivalent atoms, fractional coordinates:
Ba  0.2500  0.2500  0.2500 [8 per cell]  4 H 3.42, 4 Mn 3.42
Mn  0.0000  0.0000  0.0000 [4 per cell]  8 Ba 3.42
H  0.0000  0.0000  0.5000 [4 per cell]  8 Ba 3.42

Values from the calculation:
crystal system = cubic

***

Which of them is most stable? Easy: one.

***

one | # BaMnH6

BaMnH6 after structural relaxation (PBE, the Alexandria database).

a = 6.1427 Å, b = 6.8773 Å, c = 4.5869 Å
α = 90.00°, β = 101.12°, γ = 90.00°
Last column: nearest neighbours and their distance in Å.
Space group C2/m (No. 12)
Inequivalent atoms, fractional coordinates:
Ba  0.0000  0.0000  0.0000 [2 per cell]  12 H 2.69-2.77
Mn  0.0000  0.5000  0.5000 [2 per cell]  6 H 1.65
H  0.0958  0.3370  0.7556 [8 per cell]  1 Mn 1.65
H  0.2478  0.0000  0.5732 [4 per cell]  1 Mn 1.65

Values from the calculation:
crystal system = monoclinic

***

two | # BaMnH6

BaMnH6 after structural relaxation (PBE, the Alexandria database).

a = 8.2589 Å, b = 8.2589 Å, c = 8.2589 Å
α = 90.00°, β = 90.00°, γ = 90.00°
Last column: nearest neighbours and their distance in Å.
Space group Fm-3m (No. 225)
Inequivalent atoms, fractional coordinates:
Ba  0.0000  0.0000  0.0000 [4 per cell]  6 H 2.50
Mn  0.0000  0.0000  0.5000 [4 per cell]  6 H 1.63
H  0.0000  0.0000  0.3028 [24 per cell]  1 Mn 1.63

Values from the calculation:
crystal system = cubic

***

Which of them is most stable? Easy: one.

***

one | # BaMoH3

BaMoH3 after structural relaxation (PBE, the Alexandria database).

a = 4.5026 Å, b = 4.5026 Å, c = 4.5026 Å
α = 90.00°, β = 90.00°, γ = 90.00°
Last column: nearest neighbours and their distance in Å.
Space group Pm-3m (No. 221)
Inequivalent atoms, fractional coordinates:
Ba  0.0000  0.0000  0.0000 [1 per cell]  6 H 2.25
Mo  0.5000  0.5000  0.5000 [1 per cell]  12 H 3.18
H  0.0000  0.0000  0.5000 [3 per cell]  2 Ba 2.25

Values from the calculation:
crystal system = cubic

***

two | # BaMoH3

BaMoH3 after structural relaxation (PBE, the Alexandria database).

a = 4.0086 Å, b = 4.0086 Å, c = 4.0086 Å
α = 90.00°, β = 90.00°, γ = 90.00°
Last column: nearest neighbours and their distance in Å.
Space group Pm-3m (No. 221)
Inequivalent atoms, fractional coordinates:
Ba  0.0000  0.0000  0.0000 [1 per cell]  12 H 2.83
Mo  0.5000  0.5000  0.5000 [1 per cell]  6 H 2.00
H  0.0000  0.5000  0.5000 [3 per cell]  2 Mo 2.00

Values from the calculation:
crystal system = cubic

***

Which of them is most stable? Easy: two.